Entry 1:
Computed, not measured: a PBEsol-optimized structure of Mn2SiPt at the meta-GGA SCAN level of DFT.

E	-119.1	eV per formula unit
Fermi-level density of states	0.614	states/eV per atom
raw formation energy	-0.605	eV per atom

abc: 3.626 3.626 3.787
angles: 90.00 90.00 90.00
Site moments in Bohr magnetons follow the coordinates.
Sites, in units of the cell vectors:
Pt  0.500  0.500  0.500  0.00
Si  0.000  0.000  0.500  -0.16
Mn  0.500  0.000  0.000  2.83
Mn  0.000  0.500  0.000  2.83


Entry 2:
Computed, not measured: a PBEsol-optimized structure of BaZn3Pt at the meta-GGA SCAN level of DFT.

formation energy	-563	meV/atom
E	-153.1	eV per formula unit
excess energy over the best structure of this formula in the dataset	0	meV per atom
Fermi-level density of states	0.326	states/eV per atom

abc: 4.859 4.859 4.859
angles: 90.00 90.00 90.00
Sites, in units of the cell vectors:
Pt  0.000  0.000  0.000
Zn  0.000  0.500  0.000
Zn  0.500  0.000  0.000
Ba  0.500  0.500  0.500
Zn  0.000  0.000  0.500


Entry 3:
Computed, not measured: a PBEsol-optimized structure of LiPbAu2 at the meta-GGA SCAN level of DFT.

formation energy	-280	meV/atom
E	-217.6	eV per formula unit
Fermi-level density of states	0.309	states/eV per atom

abc: 3.271 4.413 5.799
angles: 90.00 106.53 90.00
Sites, in units of the cell vectors:
Pb  0.213  0.500  0.797
Au  0.958  0.500  0.296
Li  0.519  0.000  0.414
Au  0.810  0.000  0.993


Entry 4:
Computed, not measured: a PBEsol-optimized structure of DyNiGe2 at the meta-GGA SCAN level of DFT.

formation energy	-797	meV/atom
E	-105.3	eV per formula unit
Fermi-level density of states	0.382	states/eV per atom

abc: 4.039 4.109 8.484
angles: 90.00 103.77 90.00
Sites, in units of the cell vectors:
Ni  0.179  0.250  0.357
Ge  0.959  0.750  0.917
Ge  0.249  0.750  0.498
Dy  0.608  0.750  0.216
Ge  0.751  0.250  0.502
Ge  0.041  0.250  0.083
Ni  0.821  0.750  0.643
Dy  0.392  0.250  0.784


Entry 5:
Computed, not measured: a PBEsol-optimized structure of Be4TcMo at the meta-GGA SCAN level of DFT.

formation energy	-413	meV/atom
E	-89.8	eV per formula unit
Fermi-level density of states	0.143	states/eV per atom

abc: 4.367 4.367 4.367
angles: 60.00 60.00 60.00
Sites, in units of the cell vectors:
Be  0.126  0.625  0.625
Mo  0.250  0.250  0.250
Be  0.625  0.625  0.625
Be  0.625  0.625  0.126
Tc  0.000  0.000  0.000
Be  0.625  0.126  0.625


Entry 6:
Computed, not measured: a PBEsol-optimized structure of CoRuPt2 at the meta-GGA SCAN level of DFT.

formation energy	55	meV/atom
E	-192.3	eV per formula unit
excess energy over the best structure of this formula in the dataset	138	meV per atom
Fermi-level density of states	1.110	states/eV per atom

abc: 2.679 2.679 8.841
angles: 81.29 81.29 60.00
Site moments in Bohr magnetons follow the coordinates.
Sites, in units of the cell vectors:
Co  0.247  0.247  0.259  1.87
Pt  0.753  0.753  0.741  -0.06
Pt  0.994  0.994  0.017  0.19
Ru  0.506  0.506  0.483  -0.10


Entry 7:
Computed, not measured: a PBEsol-optimized structure of FeNi2Rh at the meta-GGA SCAN level of DFT.

formation energy	-119	meV/atom
E	-84.7	eV per formula unit
Fermi-level density of states	0.741	states/eV per atom

abc: 3.600 3.600 4.371
angles: 114.32 114.32 90.00
Site moments in Bohr magnetons follow the coordinates.
Sites, in units of the cell vectors:
Rh  0.500  0.500  0.000  0.70
Ni  0.750  0.250  0.500  0.94
Fe  0.250  0.750  0.500  3.14
Ni  0.000  0.000  0.000  0.87


Entry 8:
Computed, not measured: a PBEsol-optimized structure of LaHSe2N at the meta-GGA SCAN level of DFT.

E	-97.0	eV per formula unit
Fermi-level density of states	0.223	states/eV per atom

abc: 3.874 3.874 5.339
angles: 90.00 90.00 90.00
Site moments in Bohr magnetons follow the coordinates.
Sites, in units of the cell vectors:
La  0.500  0.500  0.500  -0.04
Se  0.000  0.500  0.000  0.04
H  0.000  0.000  0.000  0.00
Se  0.500  0.000  0.000  0.04
N  0.000  0.000  0.500  0.64